[1]
The following is a DFT calculation (PBE) of a geometry-optimized LaPaSb2 structure.

abc: 4.3391 4.3391 10.0703
angles: 77.56 77.56 60.00
Closest atoms and distances in Å follow each position.
Element x y z (fractional)
Sb 0.1066 0.1066 0.6803  3 Pa 3.06, 1 La 3.12
Sb 0.8934 0.8934 0.3197  3 Pa 3.06, 1 La 3.12
Pa 0.5000 0.5000 0.5000  6 Sb 3.06
La 0.0000 0.0000 0.0000  2 Sb 3.12

Output
Excess energy over the best structure of this formula in the dataset in eV per formula unit: 3.00
Density of states at the Fermi level in states/eV/cell: 4.251
Space-group type: R-3m, No. 166
E in eV per atom: -5.7610
Spin magnetization in μB/f.u.: 0.460
Formation energy without anion corrections in eV per atom: -0.09
V in Å³/cell: 159.0

***

[2]
The following is a DFT calculation (PBE) of a geometry-optimized ErFeNiGe2 structure.

abc: 3.9457 3.9457 5.8073
angles: 109.86 109.86 90.00
Closest atoms and distances in Å follow each position.
Element x y z (fractional)
Er 0.0000 0.0000 0.0000  8 Ge 3.07, 4 Fe 3.22, 4 Ni 3.22
Fe 0.7500 0.2500 0.5000  4 Ge 2.35
Ni 0.2500 0.7500 0.5000  4 Ge 2.35
Ge 0.6254 0.6254 0.2509  2 Ni 2.35, 2 Fe 2.35, 1 Ge 2.56
Ge 0.3746 0.3746 0.7491  2 Ni 2.35, 2 Fe 2.35, 1 Ge 2.56

Output
Density of states at the Fermi level in states/eV/cell: 2.910
Energy of formation from the pure elements in eV/f.u.: -2.760
Space-group type: I-4m2, No. 119
E in eV per atom: -6.1604
Spin magnetization in μB/f.u.: 0.013
V in Å³/cell: 79.3

***

[3]
The following is a DFT calculation (PBE) of a geometry-optimized Hf4CuS structure.

abc: 6.9412 6.9412 6.9412
angles: 106.23 106.23 116.16
Closest atoms and distances in Å follow each position.
Element x y z (fractional)
Hf 0.2569 0.9595 0.7026  2 Cu 2.48-2.56, 1 S 2.48
Hf 0.7428 0.4515 0.7087  2 S 2.43-2.46, 1 Cu 2.54
Hf 0.7095 0.5069 0.2026  2 Cu 2.48-2.56, 1 S 2.48
Hf 0.2015 0.9928 0.2087  2 S 2.43-2.46, 1 Cu 2.54
Hf 0.3042 0.5069 0.7974  2 Cu 2.48-2.56, 1 S 2.48
Hf 0.7841 0.9928 0.7913  2 S 2.43-2.46, 1 Cu 2.54
Hf 0.7428 0.0341 0.2913  2 S 2.43-2.46, 1 Cu 2.54
Hf 0.2569 0.5542 0.2974  2 Cu 2.48-2.56, 1 S 2.48
Cu 0.2455 0.2455 0.0000  6 Hf 2.48-2.56
Cu 0.9955 0.4955 0.5000  6 Hf 2.48-2.56
S 0.7551 0.7551 0.0000  6 Hf 2.43-2.48
S 0.5051 0.0051 0.5000  6 Hf 2.43-2.48

Output
Density of states at the Fermi level in states/eV/cell: 11.425
Space-group type: I4_1md, No. 109
E in eV per atom: -8.1789
Spin magnetization in μB/f.u.: 0.000
Formation energy without anion corrections in eV per atom: -0.17
V in Å³/cell: 254.8

***

[4]
The following is a DFT calculation (PBE) of a geometry-optimized Pm2IrBr structure.

abc: 4.1441 4.1441 8.0951
angles: 89.99 104.84 120.01
Closest atoms and distances in Å follow each position.
Element x y z (fractional)
Pm 0.5374 0.2688 0.8062  3 Ir 2.82
Pm 0.4626 0.7312 0.1938  3 Ir 2.82
Ir 0.0000 0.0000 0.0000  6 Pm 2.82
Br 0.0000 0.5000 0.5000  6 Pm 3.37

Output
Excess energy over the best structure of this formula in the dataset in eV per formula unit: 0.00
Density of states at the Fermi level in states/eV/cell: 1.161
Space-group type: R-3m, No. 166
E in eV per atom: -6.1117
Spin magnetization in μB/f.u.: 0.000
Formation energy without anion corrections in eV per atom: -1.10
V in Å³/cell: 115.0

***

[5]
The following is a DFT calculation (PBE) of a geometry-optimized CsPd3Au structure.

abc: 5.2300 5.2300 5.2300
angles: 90.00 90.00 90.00
Closest atoms and distances in Å follow each position.
Element x y z (fractional)
Cs 0.0000 0.0000 0.0000  6 Pd 2.61
Au 0.5000 0.5000 0.5000  12 Pd 3.70
Pd 0.0000 0.5000 0.0000  2 Cs 2.61
Pd 0.0000 0.0000 0.5000  2 Cs 2.61
Pd 0.5000 0.0000 0.0000  2 Cs 2.61

Output
Excess energy over the best structure of this formula in the dataset in eV per formula unit: 4.77
Density of states at the Fermi level in states/eV/cell: 1.760
Energy of formation from the pure elements in eV/f.u.: 7.229
Space-group type: Pm-3m, No. 221
E in eV per atom: -2.4960
Spin magnetization in μB/f.u.: 0.000
V in Å³/cell: 143.1

***

[6]
The following is a DFT calculation (PBE) of a geometry-optimized Ni2AsPt structure.

abc: 4.0838 3.0144 4.3572
angles: 90.06 90.00 90.00
Closest atoms and distances in Å follow each position.
Element x y z (fractional)
As 0.5000 0.6239 0.8310  6 Ni 2.43-2.60, 2 Pt 2.63
Ni 0.0000 0.1268 0.9507  2 Ni 2.47, 4 As 2.59-2.60, 4 Pt 2.64-2.65
Ni 0.5000 0.1237 0.2682  2 As 2.43, 2 Ni 2.47, 4 Pt 2.66
Pt 0.0000 0.6257 0.4501  2 As 2.63, 8 Ni 2.64-2.66

Output
Density of states at the Fermi level in states/eV/cell: 2.296
Energy of formation from the pure elements in eV/f.u.: -0.539
Space-group type: Pm, No. 6
E in eV per atom: -5.6981
Spin magnetization in μB/f.u.: 0.000
V in Å³/cell: 53.6

***

[7]
The following is a DFT calculation (PBE) of a geometry-optimized Hf2MoH4 structure.

abc: 5.8673 5.8673 5.8674
angles: 119.98 119.98 90.02
Closest atoms and distances in Å follow each position.
Element x y z (fractional)
Hf 0.6250 0.3750 0.7500  6 H 2.04
Hf 0.6250 0.8750 0.2500  6 H 2.04
Hf 0.6250 0.3750 0.2500  6 H 2.04
Hf 0.1250 0.3750 0.7500  6 H 2.04
Mo 0.2498 0.7502 0.5000  4 H 1.85
Mo 0.0002 0.9998 0.0000  4 H 1.85
H 0.8715 0.1289 0.2577  1 Mo 1.85, 3 Hf 2.04
H 0.3786 0.6211 0.2423  1 Mo 1.85, 3 Hf 2.04
H 0.8711 0.6136 0.7422  1 Mo 1.85, 3 Hf 2.04
H 0.8711 0.1286 0.7423  1 Mo 1.85, 3 Hf 2.04
H 0.3864 0.1289 0.2578  1 Mo 1.85, 3 Hf 2.04
H 0.3789 0.1364 0.7578  1 Mo 1.85, 3 Hf 2.04
H 0.3789 0.6214 0.7577  1 Mo 1.85, 3 Hf 2.04
H 0.8636 0.6211 0.2422  1 Mo 1.85, 3 Hf 2.04

Output
Excess energy over the best structure of this formula in the dataset in eV per formula unit: 0.47
Density of states at the Fermi level in states/eV/cell: 7.561
Space-group type: Fd-3m, No. 227
E in eV per atom: -6.3935
Spin magnetization in μB/f.u.: 0.002
V in Å³/cell: 142.9

***

[8]
The following is a DFT calculation (PBE) of a geometry-optimized SrTmCd4 structure.

abc: 3.5309 5.0442 8.8243
angles: 90.00 90.00 90.00
Closest atoms and distances in Å follow each position.
Element x y z (fractional)
Sr 0.9987 0.9973 0.4981  12 Cd 3.45-3.49, 2 Sr 3.53
Tm 0.9986 0.4973 0.9981  12 Cd 3.36-3.39, 2 Tm 3.53
Cd 0.4986 0.9973 0.1575  3 Cd 2.81-2.91
Cd 0.4985 0.9973 0.8387  3 Cd 2.81-2.91
Cd 0.4986 0.4973 0.6746  3 Cd 2.91-3.11
Cd 0.4986 0.4973 0.3217  3 Cd 2.91-3.11

Output
Excess energy over the best structure of this formula in the dataset in eV per formula unit: 0.00
Density of states at the Fermi level in states/eV/cell: 3.289
Energy of formation from the pure elements in eV/f.u.: -1.681
Space-group type: Pmmm, No. 47
E in eV per atom: -1.9158
Spin magnetization in μB/f.u.: 0.000
V in Å³/cell: 157.2

***

[9]
The following is a DFT calculation (PBE) of a geometry-optimized TePbSeN2 structure.

abc: 4.2811 4.2811 5.6973
angles: 90.00 90.00 90.00
Closest atoms and distances in Å follow each position.
Element x y z (fractional)
Pb 0.5000 0.5000 0.5000  4 Se 3.03
Te 0.0000 0.0000 0.0000  4 N 2.14
Se 0.0000 0.0000 0.5000  2 Te 2.85, 4 Pb 3.03
N 0.0000 0.5000 0.0000  2 Te 2.14
N 0.5000 0.0000 0.0000  2 Te 2.14

Output
Excess energy over the best structure of this formula in the dataset in eV per formula unit: 0.00
Density of states at the Fermi level in states/eV/cell: 2.574
Space-group type: P4/mmm, No. 123
E in eV per atom: -4.3077
Spin magnetization in μB/f.u.: 0.004
Formation energy without anion corrections in eV per atom: 1.09
V in Å³/cell: 104.4

***

[10]
The following is a DFT calculation (PBE) of a geometry-optimized HfZn2Cu structure.

abc: 3.0510 3.0510 6.6977
angles: 90.00 90.00 90.00
Closest atoms and distances in Å follow each position.
Element x y z (fractional)
Zn 0.0000 0.0000 0.7883  4 Cu 2.58, 1 Zn 2.84
Zn 0.0000 0.0000 0.2117  4 Cu 2.58, 1 Zn 2.84
Hf 0.5000 0.5000 0.5000  8 Zn 2.90, 4 Hf 3.05
Cu 0.5000 0.5000 0.0000  8 Zn 2.58

Output
Density of states at the Fermi level in states/eV/cell: 2.334
Energy of formation from the pure elements in eV/f.u.: -0.523
Space-group type: P4/mmm, No. 123
E in eV per atom: -4.2802
Spin magnetization in μB/f.u.: 0.000
V in Å³/cell: 62.3

***

[11]
The following is a DFT calculation (PBE) of a geometry-optimized Be2PCl structure.

abc: 3.3036 6.0565 3.0186
angles: 90.00 90.00 90.00
Closest atoms and distances in Å follow each position.
Element x y z (fractional)
P 0.0000 0.5000 0.5000  4 Be 2.24
Be 0.0000 0.0000 0.0000  4 Cl 2.24
Be 0.5000 0.5000 0.0000  4 P 2.24
Cl 0.5000 0.0000 0.5000  4 Be 2.24

Output
Excess energy over the best structure of this formula in the dataset in eV per formula unit: 3.56
Density of states at the Fermi level in states/eV/cell: 1.450
Space-group type: Pmmm, No. 47
E in eV per atom: -3.3062
Spin magnetization in μB/f.u.: 0.000
Formation energy without anion corrections in eV per atom: 0.37
V in Å³/cell: 60.4

***

[12]
The following is a DFT calculation (PBE) of a geometry-optimized YPtO2 structure.

abc: 6.4943 6.4943 6.4943
angles: 30.54 30.54 30.54
Closest atoms and distances in Å follow each position.
Element x y z (fractional)
Y 0.5000 0.5000 0.5000  6 O 2.25
O 0.8911 0.8911 0.8911  1 Pt 2.02, 3 Y 2.25
O 0.1089 0.1089 0.1089  1 Pt 2.02, 3 Y 2.25
Pt 0.0000 0.0000 0.0000  2 O 2.02

Output
Density of states at the Fermi level in states/eV/cell: 1.418
Space-group type: R-3m, No. 166
E in eV per atom: -7.6232
Spin magnetization in μB/f.u.: 0.000
Formation energy without anion corrections in eV per atom: -2.02
V in Å³/cell: 62.7

***

[13]
The following is a DFT calculation (PBE) of a geometry-optimized PaPt3Rh structure.

abc: 4.8050 4.8050 4.8050
angles: 69.36 69.36 69.36
Closest atoms and distances in Å follow each position.
Element x y z (fractional)
Pa 0.3144 0.3144 0.3144  1 Rh 2.45
Pt 0.4261 0.9225 0.9225  4 Pt 2.71-2.75, 3 Rh 2.83-3.01, 3 Pa 2.91-2.98
Pt 0.9225 0.4261 0.9225  4 Pt 2.71-2.75, 3 Rh 2.83-3.01, 3 Pa 2.91-2.98
Pt 0.9225 0.9225 0.4261  4 Pt 2.71-2.75, 3 Rh 2.83-3.01, 3 Pa 2.91-2.98
Rh 0.5396 0.5396 0.5396  1 Pa 2.45

Output
Density of states at the Fermi level in states/eV/cell: 3.190
Energy of formation from the pure elements in eV/f.u.: -3.248
Space-group type: R3m, No. 160
E in eV per atom: -7.6436
Spin magnetization in μB/f.u.: 0.000
V in Å³/cell: 93.8